(1)
First-principles (PBE-GGA) data for RbHoCdSe3 after structural relaxation, as listed in OQMD.

The space group is P2_1/m (No. 11) and the conventional cell measures 8.956, 4.260 and 10.588 Å, with angles of 90.00, 109.69 and 90.00 degrees. The distinct sites, in fractional coordinates, are Rb at (0.239, 0.250, 0.259), Ho at (0.323, 0.750, 0.870), Cd at (0.081, 0.250, 0.615), Se at (0.101, 0.250, 0.867), Se at (0.233, 0.750, 0.558) and Se at (0.469, 0.750, 0.147).

Its uncorrected energy is -4.15 eV per atom.


(2)
First-principles (PBE-GGA) data for IrOs6W after structural relaxation, as listed in OQMD.

The space group is P-6m2 (No. 187) and the conventional cell measures 5.5266, 5.5266 and 4.3750 Å, with angles of 90.00, 90.00 and 120.00 degrees. The distinct sites, in fractional coordinates, are Ir at (0.0000, 0.0000, 0.0000), Os at (0.3280, 0.1640, 0.5000), Os at (0.5030, 0.0059, 0.0000) and W at (0.3333, 0.6667, 0.5000).

The formation energy is -0.053 eV/atom. Its uncorrected energy is -11.20 eV per atom.